Entry 1:
Density functional theory data (GGA-PBE) for a relaxed ThTlPdAu crystal.

Properties
Its magnetization is 0.00 μB/f.u. The space-group type is F-43m, No. 216.

a b c (Å): 5.0482 5.0482 5.0482
angles (deg): 60.00 60.00 60.00
With the nearest neighbours (Å) after each atom.
Positions (direct):
Th1 0.0000 0.0000 0.0000  4 Pd 3.09, 4 Au 3.09
Tl1 0.5000 0.5000 0.5000  4 Pd 3.09, 4 Au 3.09
Pd1 0.7500 0.7500 0.7500  4 Tl 3.09, 4 Th 3.09
Au1 0.2500 0.2500 0.2500  4 Tl 3.09, 4 Th 3.09


Entry 2:
Density functional theory data (GGA-PBE) for a relaxed TmThPdAu crystal.

Properties
Its magnetization is 0.00 μB/f.u. The space-group type is F-43m, No. 216.

a b c (Å): 5.1048 5.1048 5.1048
angles (deg): 60.00 60.00 60.00
With the nearest neighbours (Å) after each atom.
Positions (direct):
Tm1 0.0000 0.0000 0.0000  4 Pd 3.13, 4 Au 3.13
Th1 0.5000 0.5000 0.5000  4 Pd 3.13, 4 Au 3.13
Pd1 0.7500 0.7500 0.7500  4 Th 3.13, 4 Tm 3.13
Au1 0.2500 0.2500 0.2500  4 Th 3.13, 4 Tm 3.13


Entry 3:
Density functional theory data (GGA-PBE) for a relaxed ThZn5PdAu2 crystal.

Properties
Its magnetization is 0.00 μB/f.u. The space-group type is P4/mmm, No. 123.

a b c (Å): 4.8985 4.8985 7.4627
angles (deg): 90.00 90.00 90.00
With the nearest neighbours (Å) after each atom.
Positions (direct):
Th1 0.0000 0.0000 0.0000  12 Zn 3.35-3.46, 2 Pd 3.73
Zn1 0.0000 0.5000 0.3064  2 Au 2.45
Zn2 0.0000 0.5000 0.6936  2 Au 2.45
Zn3 0.5000 0.0000 0.3064  2 Au 2.45
Zn4 0.5000 0.0000 0.6936  2 Au 2.45
Zn5 0.5000 0.5000 0.0000  2 Au 2.40
Pd1 0.0000 0.0000 0.5000  8 Zn 2.84
Au1 0.5000 0.5000 0.3214  5 Zn 2.40-2.45, 1 Au 2.67
Au2 0.5000 0.5000 0.6786  5 Zn 2.40-2.45, 1 Au 2.67


Entry 4:
Density functional theory data (GGA-PBE) for a relaxed ThZn2PdAu2 crystal.

Properties
Its magnetization is 0.00 μB/f.u. The space-group type is P4/mmm, No. 123.

a b c (Å): 4.8089 4.8089 5.4781
angles (deg): 90.00 90.00 90.00
With the nearest neighbours (Å) after each atom.
Positions (direct):
Th1 0.0000 0.0000 0.0000  2 Pd 2.74
Zn1 0.0000 0.5000 0.5000  2 Pd 2.40
Zn2 0.5000 0.0000 0.5000  2 Pd 2.40
Pd1 0.0000 0.0000 0.5000  4 Zn 2.40
Au1 0.5000 0.5000 0.2414  2 Au 2.65-2.83, 4 Zn 2.79
Au2 0.5000 0.5000 0.7586  2 Au 2.65-2.83, 4 Zn 2.79


Entry 5:
Density functional theory data (GGA-PBE) for a relaxed Th2Zn4PdAu3 crystal.

Properties
Its magnetization is 0.00 μB/f.u. The space-group type is P-4m2, No. 115.

a b c (Å): 4.2279 4.2279 11.2986
angles (deg): 90.00 90.00 90.00
With the nearest neighbours (Å) after each atom.
Positions (direct):
Th1 0.0000 0.5000 0.2370  4 Zn 3.22, 6 Au 3.28-3.41, 2 Pd 3.41
Th2 0.5000 0.0000 0.7630  4 Zn 3.22, 6 Au 3.28-3.41, 2 Pd 3.41
Zn1 0.0000 0.0000 0.5000  4 Au 2.67, 4 Zn 2.99
Zn2 0.0000 0.5000 0.8700  3 Au 2.55-2.57, 2 Pd 2.57
Zn3 0.5000 0.0000 0.1300  3 Au 2.55-2.57, 2 Pd 2.57
Zn4 0.5000 0.5000 0.5000  4 Au 2.67, 4 Zn 2.99
Pd1 0.5000 0.5000 0.0000  4 Zn 2.57
Au1 0.0000 0.0000 0.0000  4 Zn 2.57
Au2 0.0000 0.5000 0.6443  5 Zn 2.55-2.67
Au3 0.5000 0.0000 0.3557  5 Zn 2.55-2.67


Entry 6:
Density functional theory data (GGA-PBE) for a relaxed ThZrPdAu crystal.

Properties
Its magnetization is 0.00 μB/f.u. The space-group type is F-43m, No. 216.

a b c (Å): 5.0278 5.0278 5.0278
angles (deg): 60.00 60.00 60.00
With the nearest neighbours (Å) after each atom.
Positions (direct):
Th1 0.0000 0.0000 0.0000  4 Au 3.08, 4 Pd 3.08
Zr1 0.5000 0.5000 0.5000  4 Pd 3.08, 4 Au 3.08
Pd1 0.2500 0.2500 0.2500  4 Zr 3.08, 4 Th 3.08
Au1 0.7500 0.7500 0.7500  4 Zr 3.08, 4 Th 3.08


Entry 7:
Density functional theory data (GGA-PBE) for a relaxed TiPd2Au crystal.

Properties
Its magnetization is 0.00 μB/f.u. The space-group type is Pmmn, No. 59.

a b c (Å): 4.6210 5.6210 4.8845
angles (deg): 90.00 90.00 90.00
With the nearest neighbours (Å) after each atom.
Positions (direct):
Ti1 0.2500 0.2500 0.1676  4 Au 2.81-2.82, 8 Pd 2.81-2.82
Ti2 0.7500 0.7500 0.8324  4 Au 2.81-2.82, 8 Pd 2.81-2.82
Pd1 0.2500 0.0002 0.6685  4 Au 2.80-2.84, 4 Pd 2.81-2.84, 4 Ti 2.81-2.82
Pd2 0.2500 0.4998 0.6685  4 Au 2.80-2.84, 4 Pd 2.81-2.84, 4 Ti 2.81-2.82
Pd3 0.7500 0.9998 0.3315  4 Au 2.80-2.84, 4 Pd 2.81-2.84, 4 Ti 2.81-2.82
Pd4 0.7500 0.5002 0.3315  4 Au 2.80-2.84, 4 Pd 2.81-2.84, 4 Ti 2.81-2.82
Au1 0.2500 0.7500 0.1640  8 Pd 2.80-2.84, 4 Ti 2.81-2.82
Au2 0.7500 0.2500 0.8360  8 Pd 2.80-2.84, 4 Ti 2.81-2.82


Entry 8:
Density functional theory data (GGA-PBE) for a relaxed TiPd6Au3 crystal.

Properties
For the distance to the lowest polymorph of the same formula, the calculation gives 101 meV per atom. Its magnetization is 0.00 μB/f.u. The space-group type is P2_1/m, No. 11.

a b c (Å): 11.2703 2.8909 11.3035
angles (deg): 90.00 114.02 90.00
With the nearest neighbours (Å) after each atom.
Positions (direct):
Ti1 0.0716 0.2500 0.3368  7 Pd 2.47-2.67
Ti2 0.9284 0.7500 0.6632  7 Pd 2.47-2.67
Pd1 0.1133 0.7500 0.5484  3 Ti 2.67-2.87, 9 Pd 2.72-2.89
Pd2 0.1335 0.2500 0.7657  2 Ti 2.57, 3 Au 2.68-2.78, 2 Pd 2.78
Pd3 0.1875 0.2500 0.1922  1 Ti 2.47
Pd4 0.2827 0.7500 0.4322  2 Ti 2.61, 7 Pd 2.72-2.89, 3 Au 2.81-2.85
Pd5 0.3411 0.2500 0.6678  3 Au 2.72-2.81, 8 Pd 2.77-3.03
Pd6 0.3794 0.7500 0.1333  6 Au 2.81-3.02, 5 Pd 2.89-3.03
Pd7 0.6206 0.2500 0.8667  6 Au 2.81-3.02, 5 Pd 2.89-3.03
Pd8 0.6589 0.7500 0.3322  3 Au 2.72-2.81, 8 Pd 2.77-3.03
Pd9 0.7173 0.2500 0.5678  2 Ti 2.61, 7 Pd 2.72-2.89, 3 Au 2.81-2.85
Pd10 0.8125 0.7500 0.8078  1 Ti 2.47
Pd11 0.8665 0.7500 0.2343  2 Ti 2.57, 3 Au 2.68-2.78, 2 Pd 2.78
Pd12 0.8867 0.2500 0.4516  3 Ti 2.67-2.87, 9 Pd 2.72-2.89
Au1 0.0932 0.7500 0.9565  6 Pd 2.78-3.02, 4 Au 2.89-3.02, 1 Ti 3.07
Au2 0.3872 0.2500 0.9237  5 Pd 2.68-2.95, 4 Au 2.82-2.89
Au3 0.4619 0.2500 0.3670  8 Pd 2.81-2.91, 4 Au 2.89-3.12
Au4 0.5381 0.7500 0.6330  8 Pd 2.81-2.91, 4 Au 2.89-3.12
Au5 0.6128 0.7500 0.0763  5 Pd 2.68-2.95, 4 Au 2.82-2.89
Au6 0.9068 0.2500 0.0435  6 Pd 2.78-3.02, 4 Au 2.89-3.02, 1 Ti 3.07


Entry 9:
Density functional theory data (GGA-PBE) for a relaxed TiPd8Au2 crystal.

Properties
For the distance to the lowest polymorph of the same formula, the calculation gives 25 meV per atom. Its magnetization is 0.00 μB/f.u. The space-group type is C2/m, No. 12.

a b c (Å): 7.3588 7.3588 5.2680
angles (deg): 110.84 110.84 117.29
With the nearest neighbours (Å) after each atom.
Positions (direct):
Ti1 0.0000 0.0000 0.0000  6 Pd 2.41-2.70
Pd1 0.1015 0.3171 0.5909  6 Pd 2.65-2.83, 1 Ti 2.70, 2 Au 2.80-2.81
Pd2 0.2153 0.7847 0.0000  4 Pd 2.69-2.83, 1 Ti 2.71, 4 Au 2.81-2.87
Pd3 0.3171 0.1015 0.5909  6 Pd 2.65-2.83, 1 Ti 2.70, 2 Au 2.80-2.81
Pd4 0.3792 0.3792 0.1575  1 Ti 2.41, 2 Pd 2.67
Pd5 0.6208 0.6208 0.8425  1 Ti 2.41, 2 Pd 2.67
Pd6 0.6829 0.8985 0.4091  6 Pd 2.65-2.83, 1 Ti 2.70, 2 Au 2.80-2.81
Pd7 0.7847 0.2153 0.0000  4 Pd 2.69-2.83, 1 Ti 2.71, 4 Au 2.81-2.87
Pd8 0.8985 0.6829 0.4091  6 Pd 2.65-2.83, 1 Ti 2.70, 2 Au 2.80-2.81
Au1 0.3052 0.6948 0.5000  10 Pd 2.80-2.87
Au2 0.6948 0.3052 0.5000  10 Pd 2.80-2.87


Entry 10:
Density functional theory data (GGA-PBE) for a relaxed Ti2Pd8Au3 crystal.

Properties
Its magnetization is 0.00 μB/f.u. The space-group type is R-3m, No. 166.

a b c (Å): 9.9985 9.9985 9.9985
angles (deg): 30.37 30.37 30.37
With the nearest neighbours (Å) after each atom.
Positions (direct):
Ti1 0.1356 0.1356 0.1356  4 Pd 2.37-2.46
Ti2 0.8644 0.8644 0.8644  4 Pd 2.37-2.46
Pd1 0.2184 0.2184 0.2184  1 Ti 2.37
Pd2 0.2368 0.2368 0.7313  1 Ti 2.46, 4 Pd 2.59-2.65
Pd3 0.2368 0.7313 0.2368  1 Ti 2.46, 4 Pd 2.59-2.65
Pd4 0.2687 0.7632 0.7632  1 Ti 2.46, 4 Pd 2.59-2.65
Pd5 0.7313 0.2368 0.2368  1 Ti 2.46, 4 Pd 2.59-2.65
Pd6 0.7632 0.2687 0.7632  1 Ti 2.46, 4 Pd 2.59-2.65
Pd7 0.7632 0.7632 0.2687  1 Ti 2.46, 4 Pd 2.59-2.65
Pd8 0.7816 0.7816 0.7816  1 Ti 2.37
Au1 0.3154 0.3154 0.3154  10 Pd 2.77-2.99
Au2 0.5000 0.5000 0.5000  6 Ti 3.15, 12 Pd 3.18-3.37
Au3 0.6846 0.6846 0.6846  10 Pd 2.77-2.99


Entry 11:
Density functional theory data (GGA-PBE) for a relaxed TiPd6Au crystal.

Properties
For the distance to the lowest polymorph of the same formula, the calculation gives 156 meV per atom. Its magnetization is 0.00 μB/f.u. The space-group type is P-1, No. 2.

a b c (Å): 5.0436 5.0905 5.0998
angles (deg): 93.48 93.90 93.81
With the nearest neighbours (Å) after each atom.
Positions (direct):
Ti1 0.0000 0.0000 0.0000  6 Pd 2.64-2.67
Pd1 0.0297 0.7499 0.4406  6 Pd 2.62-2.87, 1 Ti 2.65, 2 Au 2.77-2.92
Pd2 0.2503 0.5612 0.9666  6 Pd 2.61-2.87, 1 Ti 2.64, 1 Au 2.78
Pd3 0.4466 0.0294 0.7490  6 Pd 2.62-2.85, 1 Ti 2.67, 1 Au 2.78
Pd4 0.5534 0.9706 0.2510  6 Pd 2.62-2.85, 1 Ti 2.67, 1 Au 2.78
Pd5 0.7497 0.4388 0.0334  6 Pd 2.61-2.87, 1 Ti 2.64, 1 Au 2.78
Pd6 0.9703 0.2501 0.5594  6 Pd 2.62-2.87, 1 Ti 2.65, 2 Au 2.77-2.92
Au1 0.5000 0.5000 0.5000  12 Pd 2.77-2.96


Entry 12:
Density functional theory data (GGA-PBE) for a relaxed TiPd3Au6 crystal.

Properties
Its magnetization is 0.81 μB/f.u. The space-group type is P2_1/m, No. 11.

a b c (Å): 8.7574 4.1982 9.2741
angles (deg): 90.00 94.18 90.00
With the nearest neighbours (Å) after each atom.
Positions (direct):
Ti1 0.0530 0.2500 0.3962  10 Au 2.80-2.94, 2 Ti 3.04
Ti2 0.9470 0.7500 0.6038  10 Au 2.80-2.94, 2 Ti 3.04
Pd1 0.2499 0.2500 0.9991  10 Au 2.81-2.98, 2 Pd 2.97
Pd2 0.3486 0.7500 0.7999  8 Au 2.82-2.87, 4 Pd 2.97
Pd3 0.4500 0.2500 0.6009  8 Au 2.81-2.91, 4 Pd 2.97-2.99
Pd4 0.5500 0.7500 0.3991  8 Au 2.81-2.91, 4 Pd 2.97-2.99
Pd5 0.6514 0.2500 0.2001  8 Au 2.82-2.87, 4 Pd 2.97
Pd6 0.7501 0.7500 0.0009  10 Au 2.81-2.98, 2 Pd 2.97
Au1 0.0508 0.7500 0.8971  1 Ti 2.80, 4 Pd 2.82-2.87, 7 Au 2.86-3.01
Au2 0.1472 0.2500 0.6942  3 Ti 2.82-2.83, 4 Pd 2.85-2.90, 5 Au 2.86-2.98
Au3 0.1526 0.7500 0.2015  8 Au 2.85-2.90, 2 Ti 2.94, 2 Pd 2.98
Au4 0.2443 0.7500 0.5030  3 Ti 2.82-2.83, 4 Pd 2.84-2.91, 5 Au 2.85-3.01
Au5 0.3542 0.2500 0.3027  5 Pd 2.81-2.90, 1 Ti 2.84, 6 Au 2.86-3.01
Au6 0.4535 0.7500 0.0984  7 Pd 2.81-2.86, 5 Au 2.87-3.00
Au7 0.5465 0.2500 0.9016  7 Pd 2.81-2.86, 5 Au 2.87-3.00
Au8 0.6458 0.7500 0.6973  5 Pd 2.81-2.90, 1 Ti 2.84, 6 Au 2.86-3.01
Au9 0.7557 0.2500 0.4970  3 Ti 2.82-2.83, 4 Pd 2.84-2.91, 5 Au 2.85-3.01
Au10 0.8474 0.2500 0.7985  8 Au 2.85-2.90, 2 Ti 2.94, 2 Pd 2.98
Au11 0.8528 0.7500 0.3058  3 Ti 2.82-2.83, 4 Pd 2.85-2.90, 5 Au 2.86-2.98
Au12 0.9492 0.2500 0.1029  1 Ti 2.80, 4 Pd 2.82-2.87, 7 Au 2.86-3.01


Listing uncorrected energy for the structures above in their given order: -20.38; -23.26; -26.01; -23.27; -39.66; -26.36; -47.43; -100.94; -57.00; -68.50; -44.06; -89.57 eV for the cell shown.
Listing calculated formation energy for the structures above in their given order: -0.53; -0.73; -0.05; -0.26; -0.47; -0.48; -0.54; -0.16; -0.09; -0.10; -0.22; -0.16 eV per atom.
Listing calculated density for the structures above in their given order: 13504; 12435; 9824; 11315; 11700; 11579; 11980; 12610; 11604; 11282; 11278; 15127 kg/m³.